# SrScTe

A PBEsol-optimized structure of SrScTe (meta-GGA SCAN, Alexandria).

E_form (uncorrected) in eV/atom: -0.662
Spin magnetization in μB per cell: 1.01

a b c (Å): 4.9221 4.9221 4.4174
angles (deg): 90.00 90.00 120.00
With the nearest neighbours (Å) after each atom.
Space group P-6m2 (No. 187)
Unique sites:
Sr1 0.0000 0.0000 0.0000 x1  6 Te 3.60, 6 Sc 3.60
Sc1 0.6667 0.3333 0.5000 x1  3 Te 2.84
Te1 0.3333 0.6667 0.5000 x1  3 Sc 2.84